A relaxed AcHg2Sb crystal. Source: the Alexandria database, functional PBE.

Summary:
Density of states at the Fermi level   0.68 states/eV per atom
Raw formation energy   -335 meV/atom
Space group   P4/mmm (123)
Final energy   -10.17 eV per cell

a = 4.088 Å, b = 4.088 Å, c = 7.008 Å
α = 90.00°, β = 90.00°, γ = 90.00°
Fractional coordinates of all 4 atoms:
Hg1 0.000 0.000 0.775
Hg2 0.000 0.000 0.225
Sb1 0.500 0.500 0.000
Ac1 0.500 0.500 0.500

***

A relaxed Ac4Hg5Sb7 crystal. Source: the Alexandria database, functional PBE.

Summary:
Density of states at the Fermi level   0.60 states/eV per atom
Raw formation energy   -543 meV/atom
Space group   I-42m (121)
Final energy   -55.48 eV per cell

a = 6.846 Å, b = 6.846 Å, c = 11.260 Å
α = 107.70°, β = 107.70°, γ = 90.00°
Fractional coordinates of all 16 atoms:
Sb1 0.390 0.390 0.295
Sb2 0.905 0.905 0.295
Sb3 0.610 0.095 0.705
Sb4 0.500 0.500 0.000
Sb5 0.000 0.500 0.000
Sb6 0.500 0.000 0.000
Sb7 0.095 0.610 0.705
Hg1 0.748 0.748 0.497
Hg2 0.252 0.252 0.503
Hg3 0.000 0.000 0.000
Hg4 0.750 0.250 0.500
Hg5 0.250 0.750 0.500
Ac1 0.625 0.625 0.761
Ac2 0.864 0.375 0.239
Ac3 0.375 0.864 0.239
Ac4 0.136 0.136 0.761

***

A relaxed AcHgSb crystal. Source: the Alexandria database, functional PBE.

Summary:
Density of states at the Fermi level   0.22 states/eV per atom
Raw formation energy   -728 meV/atom
Space group   P-1 (2)
Final energy   -21.43 eV per cell
Distance to the lowest polymorph of the same formula   0.0 kJ/mol of atoms

a = 6.737 Å, b = 4.771 Å, c = 11.421 Å
α = 64.72°, β = 51.94°, γ = 44.92°
Fractional coordinates of all 6 atoms:
Sb1 0.558 0.007 0.682
Sb2 0.442 0.993 0.318
Hg1 0.753 0.497 0.999
Hg2 0.247 0.503 0.001
Ac1 0.051 0.007 0.688
Ac2 0.949 0.993 0.312

***

A relaxed Ac6HgSb5 crystal. Source: the Alexandria database, functional PBE.

Summary:
Density of states at the Fermi level   0.76 states/eV per atom
Raw formation energy   -1039 meV/atom
Space group   C2/m (12)
Final energy   -58.03 eV per cell

a = 8.291 Å, b = 8.291 Å, c = 8.304 Å
α = 99.60°, β = 99.60°, γ = 119.95°
Fractional coordinates of all 12 atoms:
Hg1 0.000 0.000 0.000
Ac1 0.742 0.742 0.256
Ac2 0.085 0.428 0.254
Ac3 0.915 0.572 0.746
Ac4 0.258 0.258 0.744
Ac5 0.572 0.915 0.746
Ac6 0.428 0.085 0.254
Sb1 0.333 0.667 0.000
Sb2 0.834 0.166 0.500
Sb3 0.166 0.834 0.500
Sb4 0.667 0.333 0.000
Sb5 0.500 0.500 0.500

***

A relaxed AcScHgSb crystal. Source: the Alexandria database, functional PBE.

Summary:
Density of states at the Fermi level   1.18 states/eV per atom
Raw formation energy   -500 meV/atom
Space group   F-43m (216)
Final energy   -16.87 eV per cell

a = 5.443 Å, b = 5.443 Å, c = 5.443 Å
α = 60.00°, β = 60.00°, γ = 60.00°
Fractional coordinates of all 4 atoms:
Hg1 0.250 0.250 0.250
Ac1 0.500 0.500 0.500
Sc1 0.000 0.000 0.000
Sb1 0.750 0.750 0.750

***

A relaxed Ac4HgSbSe2 crystal. Source: the Alexandria database, functional PBE.

Summary:
Density of states at the Fermi level   0.80 states/eV per atom
Raw formation energy   -1307 meV/atom
Space group   P2/m (10)
Final energy   -38.28 eV per cell

a = 4.568 Å, b = 8.085 Å, c = 8.024 Å
α = 71.15°, β = 90.00°, γ = 90.00°
Fractional coordinates of all 8 atoms:
Ac1 0.000 0.239 0.253
Ac2 0.500 0.759 0.249
Ac3 0.000 0.761 0.747
Ac4 0.500 0.241 0.751
Se1 0.500 0.000 0.500
Se2 0.000 0.000 0.000
Hg1 0.000 0.500 0.500
Sb1 0.500 0.500 0.000

***

A relaxed AcSnHgSb crystal. Source: the Alexandria database, functional PBE.

Summary:
Density of states at the Fermi level   0.66 states/eV per atom
Raw formation energy   -427 meV/atom
Space group   F-43m (216)
Final energy   -14.24 eV per cell

a = 5.564 Å, b = 5.564 Å, c = 5.564 Å
α = 60.00°, β = 60.00°, γ = 60.00°
Fractional coordinates of all 4 atoms:
Sb1 0.500 0.500 0.500
Ac1 0.750 0.750 0.750
Sn1 0.250 0.250 0.250
Hg1 0.000 0.000 0.000

***

A relaxed SrAcHgSb crystal. Source: the Alexandria database, functional PBE.

Summary:
Density of states at the Fermi level   1.19 states/eV per atom
Raw formation energy   -680 meV/atom
Space group   F-43m (216)
Final energy   -12.93 eV per cell

a = 5.721 Å, b = 5.721 Å, c = 5.721 Å
α = 60.00°, β = 60.00°, γ = 60.00°
Fractional coordinates of all 4 atoms:
Hg1 0.500 0.500 0.500
Sb1 0.000 0.000 0.000
Sr1 0.750 0.750 0.750
Ac1 0.250 0.250 0.250

***

A relaxed Ac8HgSb4Te3 crystal. Source: the Alexandria database, functional PBE.

Summary:
Density of states at the Fermi level   0.65 states/eV per atom
Raw formation energy   -1243 meV/atom
Space group   R-3m (166)
Final energy   -78.96 eV per cell

a = 9.575 Å, b = 9.510 Å, c = 9.574 Å
α = 120.22°, β = 120.00°, γ = 90.00°
Fractional coordinates of all 16 atoms:
Ac1 0.250 0.754 0.500
Ac2 0.750 0.246 0.996
Ac3 0.750 0.246 0.500
Ac4 0.754 0.754 0.004
Ac5 0.250 0.754 0.004
Ac6 0.754 0.761 0.507
Ac7 0.246 0.246 0.996
Ac8 0.246 0.239 0.493
Sb1 0.000 0.000 0.500
Sb2 0.500 0.000 0.500
Sb3 0.000 0.000 0.000
Sb4 0.500 0.000 0.000
Te1 0.000 0.500 0.500
Te2 0.500 0.500 0.000
Te3 0.500 0.500 0.500
Hg1 0.000 0.500 0.000

***

A relaxed Ac4HgSbTe2 crystal. Source: the Alexandria database, functional PBE.

Summary:
Density of states at the Fermi level   0.78 states/eV per atom
Raw formation energy   -1155 meV/atom
Space group   I-4m2 (119)
Final energy   -36.38 eV per cell

a = 6.723 Å, b = 6.723 Å, c = 8.248 Å
α = 114.05°, β = 114.05°, γ = 90.00°
Fractional coordinates of all 8 atoms:
Ac1 0.998 0.498 0.996
Ac2 0.747 0.747 0.494
Ac3 0.502 0.002 0.004
Ac4 0.253 0.253 0.506
Te1 0.000 0.000 0.000
Te2 0.250 0.750 0.500
Sb1 0.500 0.500 0.000
Hg1 0.750 0.250 0.500

***

A relaxed AcTlHgSb crystal. Source: the Alexandria database, functional PBE.

Summary:
Density of states at the Fermi level   0.73 states/eV per atom
Raw formation energy   -451 meV/atom
Space group   F-43m (216)
Final energy   -12.70 eV per cell

a = 5.631 Å, b = 5.631 Å, c = 5.631 Å
α = 60.00°, β = 60.00°, γ = 60.00°
Fractional coordinates of all 4 atoms:
Sb1 0.750 0.750 0.750
Hg1 0.250 0.250 0.250
Ac1 0.500 0.500 0.500
Tl1 0.000 0.000 0.000

***

A relaxed AcTl2HgSb2 crystal. Source: the Alexandria database, functional PBE.

Summary:
Density of states at the Fermi level   0.38 states/eV per atom
Raw formation energy   -355 meV/atom
Space group   Pmc2_1 (26)
Final energy   -39.04 eV per cell

a = 4.705 Å, b = 7.962 Å, c = 10.469 Å
α = 90.00°, β = 90.00°, γ = 90.00°
Fractional coordinates of all 12 atoms:
Sb1 0.500 0.293 0.408
Sb2 0.500 0.793 0.592
Sb3 0.000 0.732 0.155
Sb4 0.000 0.232 0.845
Hg1 0.500 0.162 0.682
Hg2 0.500 0.662 0.318
Tl1 0.500 0.536 0.946
Tl2 0.500 0.036 0.054
Tl3 0.000 0.832 0.836
Tl4 0.000 0.332 0.164
Ac1 0.000 0.991 0.411
Ac2 0.000 0.491 0.589

***

A relaxed AcZnHg2Sb2 crystal. Source: the Alexandria database, functional PBE.

Summary:
Density of states at the Fermi level   0.47 states/eV per atom
Raw formation energy   -353 meV/atom
Space group   Pmc2_1 (26)
Final energy   -32.69 eV per cell

a = 4.645 Å, b = 8.329 Å, c = 9.050 Å
α = 90.00°, β = 90.00°, γ = 90.00°
Fractional coordinates of all 12 atoms:
Zn1 0.500 0.662 0.332
Zn2 0.500 0.162 0.668
Sb1 0.000 0.681 0.178
Sb2 0.500 0.828 0.593
Sb3 0.000 0.181 0.822
Sb4 0.500 0.328 0.407
Hg1 0.000 0.327 0.130
Hg2 0.000 0.827 0.870
Hg3 0.500 0.524 0.904
Hg4 0.500 0.024 0.096
Ac1 0.000 0.524 0.613
Ac2 0.000 0.024 0.387

***

A relaxed AcZnHgSb crystal. Source: the Alexandria database, functional PBE.

Summary:
Density of states at the Fermi level   0.56 states/eV per atom
Raw formation energy   -340 meV/atom
Space group   F-43m (216)
Final energy   -11.17 eV per cell

a = 5.380 Å, b = 5.380 Å, c = 5.380 Å
α = 60.00°, β = 60.00°, γ = 60.00°
Fractional coordinates of all 4 atoms:
Hg1 0.500 0.500 0.500
Zn1 0.000 0.000 0.000
Ac1 0.750 0.750 0.750
Sb1 0.250 0.250 0.250

***

A relaxed Ac2ScHg8 crystal. Source: the Alexandria database, functional PBE.

Summary:
Density of states at the Fermi level   0.53 states/eV per atom
Space group   P-1 (2)
Final energy   -20.56 eV per cell

a = 5.358 Å, b = 7.348 Å, c = 8.299 Å
α = 109.53°, β = 105.15°, γ = 91.26°
Fractional coordinates of all 11 atoms:
Hg1 0.011 0.255 0.989
Hg2 0.814 0.856 0.683
Hg3 0.989 0.745 0.011
Hg4 0.186 0.144 0.317
Hg5 0.391 0.574 0.822
Hg6 0.609 0.426 0.178
Hg7 0.669 0.876 0.300
Hg8 0.331 0.124 0.700
Ac1 0.210 0.666 0.407
Ac2 0.790 0.334 0.593
Sc1 0.500 0.000 0.000

***

A relaxed AcSc2Hg crystal. Source: the Alexandria database, functional PBE.

Summary:
Density of states at the Fermi level   1.55 states/eV per atom
Space group   R-3m (166)
Final energy   -16.95 eV per cell
Distance to the lowest polymorph of the same formula   16.1 kJ/mol of atoms

a = 4.949 Å, b = 4.949 Å, c = 6.338 Å
α = 67.02°, β = 67.02°, γ = 60.00°
Fractional coordinates of all 4 atoms:
Sc1 0.788 0.788 0.636
Sc2 0.212 0.212 0.364
Ac1 0.000 0.000 0.000
Hg1 0.500 0.500 0.500

***

A relaxed AcScHg4 crystal. Source: the Alexandria database, functional PBE.

Summary:
Density of states at the Fermi level   0.72 states/eV per atom
Space group   P4/mmm (123)
Final energy   -12.65 eV per cell
Distance to the lowest polymorph of the same formula   1.0 kJ/mol of atoms

a = 4.658 Å, b = 4.658 Å, c = 8.436 Å
α = 90.00°, β = 90.00°, γ = 90.00°
Fractional coordinates of all 6 atoms:
Hg1 0.500 0.000 0.711
Hg2 0.500 0.000 0.289
Hg3 0.000 0.500 0.289
Hg4 0.000 0.500 0.711
Ac1 0.000 0.000 0.000
Sc1 0.500 0.500 0.500

***

A relaxed Ac2ScHg crystal. Source: the Alexandria database, functional PBE.

Summary:
Density of states at the Fermi level   1.35 states/eV per atom
Space group   R-3m (166)
Final energy   -14.13 eV per cell
Distance to the lowest polymorph of the same formula   32.0 kJ/mol of atoms

a = 3.745 Å, b = 3.745 Å, c = 12.628 Å
α = 81.47°, β = 81.47°, γ = 60.00°
Fractional coordinates of all 4 atoms:
Hg1 0.000 0.000 0.000
Ac1 0.092 0.092 0.724
Ac2 0.908 0.908 0.276
Sc1 0.500 0.500 0.500

***

A relaxed Ac5ScHg4 crystal. Source: the Alexandria database, functional PBE.

Summary:
Density of states at the Fermi level   1.24 states/eV per atom
Space group   P4/mmm (123)
Final energy   -31.53 eV per cell

a = 4.030 Å, b = 4.030 Å, c = 20.640 Å
α = 90.00°, β = 90.00°, γ = 90.00°
Fractional coordinates of all 10 atoms:
Ac1 0.500 0.500 0.303
Ac2 0.500 0.500 0.697
Ac3 0.500 0.500 0.105
Ac4 0.500 0.500 0.500
Ac5 0.500 0.500 0.895
Sc1 0.000 0.000 0.000
Hg1 0.000 0.000 0.403
Hg2 0.000 0.000 0.597
Hg3 0.000 0.000 0.201
Hg4 0.000 0.000 0.799

***

A relaxed Ac4ScHg5 crystal. Source: the Alexandria database, functional PBE.

Summary:
Density of states at the Fermi level   1.13 states/eV per atom
Space group   P4/mmm (123)
Final energy   -28.52 eV per cell

a = 3.919 Å, b = 3.919 Å, c = 20.030 Å
α = 90.00°, β = 90.00°, γ = 90.00°
Fractional coordinates of all 10 atoms:
Ac1 0.000 0.000 0.815
Ac2 0.000 0.000 0.395
Ac3 0.000 0.000 0.605
Ac4 0.000 0.000 0.185
Hg1 0.500 0.500 0.291
Hg2 0.500 0.500 0.709
Hg3 0.500 0.500 0.077
Hg4 0.500 0.500 0.500
Hg5 0.500 0.500 0.923
Sc1 0.000 0.000 0.000

***

no.,volume (Å³/cell)
1,117
2,476
3,204
4,466
5,114
6,281
7,122
8,132
9,614
10,305
11,126
12,392
13,350
14,110
15,295
16,120
17,183
18,151
19,335
20,308